Material: LiAlAg2
Method: DFT, SCAN
State: single point on PBEsol structure

Properties
DOS at the Fermi energy in states/eV per atom: 0.279
Total moment in Bohr magnetons per cell: 0.00
ΔH_f (0 K) in eV/f.u.: -0.86

a b c (Å): 3.1294 3.1294 6.2188
angles (deg): 90.00 90.00 90.00
Sites, in units of the cell vectors:
Li1 0.0000 0.0000 0.0000
Al1 0.0000 0.0000 0.5000
Ag1 0.5000 0.5000 0.2469
Ag2 0.5000 0.5000 0.7531